Computed, not measured: a relaxed NbAg3O crystal at the PBE level of DFT.

Values from the calculation:
Its space group is No. 221. As for the volume: 17.9 Å³ per atom. As for the formation energy from raw total energies: 665 meV/atom. The total energy is -4.051 eV per atom. As for the mass density: 8.017 g/cm³.

Cell: 4.4745 4.4745 4.4745 Å, 90.00 90.00 90.00°
With the nearest neighbours (Å) after each atom.
Sites, in units of the cell vectors:
Nb  0.5000  0.5000  0.5000  12 Ag 3.16
O  0.0000  0.0000  0.0000  6 Ag 2.24
Ag  0.0000  0.5000  0.0000  2 O 2.24
Ag  0.0000  0.0000  0.5000  2 O 2.24
Ag  0.5000  0.0000  0.0000  2 O 2.24

Computed, not measured: a relaxed SrCaSiAg crystal at the PBE level of DFT.

Values from the calculation:
Its space group is No. 216. As for the volume: 26.2 Å³ per atom. As for the formation energy from raw total energies: -300 meV/atom. The total energy is -3.289 eV per atom. As for the mass density: 4.173 g/cm³.

Cell: 5.2939 5.2939 5.2939 Å, 60.00 60.00 60.00°
With the nearest neighbours (Å) after each atom.
Sites, in units of the cell vectors:
Sr  0.5000  0.5000  0.5000  4 Ag 3.24, 4 Si 3.24
Ca  0.0000  0.0000  0.0000  4 Si 3.24, 4 Ag 3.24
Si  0.7500  0.7500  0.7500  4 Sr 3.24, 4 Ca 3.24
Ag  0.2500  0.2500  0.2500  4 Ca 3.24, 4 Sr 3.24

Computed, not measured: a relaxed NiMo2Cl crystal at the PBE level of DFT.

Values from the calculation:
Its space group is No. 99. As for the volume: 15.8 Å³ per atom. As for the formation energy from raw total energies: 352 meV/atom. The total energy is -6.971 eV per atom. As for the mass density: 7.510 g/cm³.

Cell: 3.1629 3.1629 6.3216 Å, 90.00 90.00 90.00°
With the nearest neighbours (Å) after each atom.
Sites, in units of the cell vectors:
Cl  0.5000  0.5000  0.7057  4 Ni 2.65, 1 Mo 2.78
Mo  0.0000  0.0000  0.0478  4 Mo 2.63, 1 Ni 2.73
Mo  0.5000  0.5000  0.2662  4 Ni 2.61, 4 Mo 2.63, 1 Cl 2.78
Ni  0.0000  0.0000  0.4803  5 Mo 2.61-2.73, 4 Cl 2.65

Fermi-level density of states, respectively: 4.0 2.2 3.4 states/eV/f.u..